[1]
A relaxed structure of Zn4SbAu. Source: the Alexandria database, functional PBE.

**Total energy**: -1.97 eV per atom
**Formation energy from raw total energies**: 111 meV/atom
**SG**: F-43m

Structure (CIF):
```
data_Zn4SbAu
_chemical_formula_sum 'Zn4 Sb1 Au1'
_space_group_name_H-M_alt 'P 1'
_space_group_IT_number 1
_space_group_name_Hall 'P 1'
_cell_length_a 5.313
_cell_length_b 5.313
_cell_length_c 5.313
_cell_angle_alpha 60.00
_cell_angle_beta 60.00
_cell_angle_gamma 60.00
loop_
_atom_site_label
_atom_site_type_symbol
_atom_site_fract_x
_atom_site_fract_y
_atom_site_fract_z
Zn1 Zn 0.872 0.376 0.376
Zn2 Zn 0.376 0.376 0.872
Zn3 Zn 0.376 0.872 0.376
Zn4 Zn 0.376 0.376 0.376
Sb1 Sb 0.000 0.000 0.000
Au1 Au 0.750 0.750 0.750
```

[2]
A relaxed structure of NaPmScIn. Source: the Alexandria database, functional PBE.

**Total energy**: -3.89 eV per atom
**ΔH_f (0 K)**: -2.37 kcal/mol of atoms
**SG**: F-43m

Structure (CIF):
```
data_NaPmScIn
_chemical_formula_sum 'Na1 Pm1 Sc1 In1'
_space_group_name_H-M_alt 'P 1'
_space_group_IT_number 1
_space_group_name_Hall 'P 1'
_cell_length_a 5.321
_cell_length_b 5.321
_cell_length_c 5.321
_cell_angle_alpha 60.00
_cell_angle_beta 60.00
_cell_angle_gamma 60.00
loop_
_atom_site_label
_atom_site_type_symbol
_atom_site_fract_x
_atom_site_fract_y
_atom_site_fract_z
Sc1 Sc 0.250 0.250 0.250
Na1 Na 0.000 0.000 0.000
In1 In 0.500 0.500 0.500
Pm1 Pm 0.750 0.750 0.750
```

[3]
A relaxed structure of Cu4SiRh. Source: the Alexandria database, functional PBE.

**Total energy**: -4.73 eV per atom
**Formation energy from raw total energies**: 125 meV/atom
**SG**: F-43m

Structure (CIF):
```
data_Cu4SiRh
_chemical_formula_sum 'Cu4 Si1 Rh1'
_space_group_name_H-M_alt 'P 1'
_space_group_IT_number 1
_space_group_name_Hall 'P 1'
_cell_length_a 4.761
_cell_length_b 4.761
_cell_length_c 4.761
_cell_angle_alpha 60.00
_cell_angle_beta 60.00
_cell_angle_gamma 60.00
loop_
_atom_site_label
_atom_site_type_symbol
_atom_site_fract_x
_atom_site_fract_y
_atom_site_fract_z
Cu1 Cu 0.875 0.375 0.375
Cu2 Cu 0.375 0.375 0.875
Cu3 Cu 0.375 0.875 0.375
Cu4 Cu 0.375 0.375 0.375
Si1 Si 0.000 0.000 0.000
Rh1 Rh 0.750 0.750 0.750
```

[4]
A relaxed structure of Zr3MnRe. Source: the Alexandria database, functional PBE.

**Total energy**: -8.69 eV per atom
**ΔH_f (0 K)**: 17.53 kcal/mol of atoms
**SG**: Pm-3m

Structure (CIF):
```
data_Zr3MnRe
_chemical_formula_sum 'Zr3 Mn1 Re1'
_space_group_name_H-M_alt 'P 1'
_space_group_IT_number 1
_space_group_name_Hall 'P 1'
_cell_length_a 4.691
_cell_length_b 4.691
_cell_length_c 4.691
_cell_angle_alpha 90.00
_cell_angle_beta 90.00
_cell_angle_gamma 90.00
loop_
_atom_site_label
_atom_site_type_symbol
_atom_site_fract_x
_atom_site_fract_y
_atom_site_fract_z
Re1 Re 0.500 0.500 0.500
Mn1 Mn 0.000 0.000 0.000
Zr1 Zr 0.000 0.500 0.000
Zr2 Zr 0.000 0.000 0.500
Zr3 Zr 0.500 0.000 0.000
```

[5]
A relaxed structure of ErTm2Th. Source: the Alexandria database, functional PBE.

**Total energy**: -5.21 eV per atom
**ΔH_f (0 K)**: 0.60 kcal/mol of atoms
**SG**: R-3m

Structure (CIF):
```
data_ErTm2Th
_chemical_formula_sum 'Er1 Tm2 Th1'
_space_group_name_H-M_alt 'P 1'
_space_group_IT_number 1
_space_group_name_Hall 'P 1'
_cell_length_a 3.536
_cell_length_b 3.536
_cell_length_c 11.563
_cell_angle_alpha 81.20
_cell_angle_beta 81.20
_cell_angle_gamma 60.00
loop_
_atom_site_label
_atom_site_type_symbol
_atom_site_fract_x
_atom_site_fract_y
_atom_site_fract_z
Tm1 Tm 0.751 0.751 0.747
Tm2 Tm 0.249 0.249 0.253
Th1 Th 0.500 0.500 0.500
Er1 Er 0.000 0.000 0.000
```

[6]
A relaxed structure of Li2ScSn2. Source: the Alexandria database, functional PBE.

**Total energy**: -4.02 eV per atom
**ΔH_f (0 K)**: -8.85 kcal/mol of atoms
**SG**: P4/mbm

Structure (CIF):
```
data_Li2ScSn2
_chemical_formula_sum 'Li4 Sc2 Sn4'
_space_group_name_H-M_alt 'P 1'
_space_group_IT_number 1
_space_group_name_Hall 'P 1'
_cell_length_a 8.017
_cell_length_b 8.017
_cell_length_c 3.119
_cell_angle_alpha 90.00
_cell_angle_beta 90.00
_cell_angle_gamma 90.00
loop_
_atom_site_label
_atom_site_type_symbol
_atom_site_fract_x
_atom_site_fract_y
_atom_site_fract_z
Sc1 Sc 0.000 0.000 0.000
Sc2 Sc 0.500 0.500 0.000
Sn1 Sn 0.182 0.682 0.500
Sn2 Sn 0.682 0.818 0.500
Sn3 Sn 0.818 0.318 0.500
Sn4 Sn 0.318 0.182 0.500
Li1 Li 0.386 0.886 0.000
Li2 Li 0.886 0.614 0.000
Li3 Li 0.614 0.114 0.000
Li4 Li 0.114 0.386 0.000
```

[7]
A relaxed structure of La2AsIr. Source: the Alexandria database, functional PBE.

**Total energy**: -6.15 eV per atom
**ΔH_f (0 K)**: -7.02 kcal/mol of atoms
**SG**: Cmm2

Structure (CIF):
```
data_La2AsIr
_chemical_formula_sum 'La2 As1 Ir1'
_space_group_name_H-M_alt 'P 1'
_space_group_IT_number 1
_space_group_name_Hall 'P 1'
_cell_length_a 3.657
_cell_length_b 3.657
_cell_length_c 8.363
_cell_angle_alpha 90.00
_cell_angle_beta 90.00
_cell_angle_gamma 100.16
loop_
_atom_site_label
_atom_site_type_symbol
_atom_site_fract_x
_atom_site_fract_y
_atom_site_fract_z
As1 As 0.000 0.000 0.559
Ir1 Ir 0.500 0.500 0.698
La1 La 0.000 0.000 0.908
La2 La 0.500 0.500 0.334
```

[8]
A relaxed structure of KRb2ReBr6. Source: the Alexandria database, functional PBE.

**Total energy**: -3.58 eV per atom
**Formation energy from raw total energies**: -1027 meV/atom
**SG**: Fm-3m

Structure (CIF):
```
data_KRb2ReBr6
_chemical_formula_sum 'K1 Rb2 Re1 Br6'
_space_group_name_H-M_alt 'P 1'
_space_group_IT_number 1
_space_group_name_Hall 'P 1'
_cell_length_a 8.018
_cell_length_b 8.018
_cell_length_c 8.018
_cell_angle_alpha 60.00
_cell_angle_beta 60.00
_cell_angle_gamma 90.00
loop_
_atom_site_label
_atom_site_type_symbol
_atom_site_fract_x
_atom_site_fract_y
_atom_site_fract_z
Re1 Re 0.000 0.000 0.000
K1 K 0.500 0.500 0.000
Br1 Br 0.225 0.225 0.550
Br2 Br 0.775 0.775 0.450
Br3 Br 0.225 0.225 0.000
Br4 Br 0.775 0.775 0.000
Br5 Br 0.775 0.225 0.000
Br6 Br 0.225 0.775 0.000
Rb1 Rb 0.750 0.250 0.500
Rb2 Rb 0.250 0.750 0.500
```

[9]
A relaxed structure of NpPt5. Source: the Alexandria database, functional PBE.

**Total energy**: -7.60 eV per atom
**ΔH_f (0 K)**: -9.32 kcal/mol of atoms
**SG**: C2/m

Structure (CIF):
```
data_NpPt5
_chemical_formula_sum 'Np1 Pt5'
_space_group_name_H-M_alt 'P 1'
_space_group_IT_number 1
_space_group_name_Hall 'P 1'
_cell_length_a 4.120
_cell_length_b 5.036
_cell_length_c 5.732
_cell_angle_alpha 73.06
_cell_angle_beta 90.00
_cell_angle_gamma 114.14
loop_
_atom_site_label
_atom_site_type_symbol
_atom_site_fract_x
_atom_site_fract_y
_atom_site_fract_z
Np1 Np 0.306 0.611 0.111
Pt1 Pt 0.971 0.942 0.785
Pt2 Pt 0.306 0.611 0.611
Pt3 Pt 0.640 0.281 0.438
Pt4 Pt 0.641 0.283 0.934
Pt5 Pt 0.970 0.940 0.288
```

[10]
A relaxed structure of LiTmPd. Source: the Alexandria database, functional PBE.

**Total energy**: -4.35 eV per atom
**ΔH_f (0 K)**: -11.42 kcal/mol of atoms
**SG**: P-6m2

Structure (CIF):
```
data_LiTmPd
_chemical_formula_sum 'Li1 Tm1 Pd1'
_space_group_name_H-M_alt 'P 1'
_space_group_IT_number 1
_space_group_name_Hall 'P 1'
_cell_length_a 3.579
_cell_length_b 4.328
_cell_length_c 4.328
_cell_angle_alpha 120.00
_cell_angle_beta 90.00
_cell_angle_gamma 90.00
loop_
_atom_site_label
_atom_site_type_symbol
_atom_site_fract_x
_atom_site_fract_y
_atom_site_fract_z
Tm1 Tm 0.667 0.667 0.333
Pd1 Pd 0.166 0.333 0.667
Li1 Li 0.167 0.000 0.000
```

[11]
A relaxed structure of MgTl2ZnCr. Source: the Alexandria database, functional PBE.

**Total energy**: -2.63 eV per atom
**ΔH_f (0 K)**: 18.84 kcal/mol of atoms
**SG**: P4/mmm

Structure (CIF):
```
data_MgTl2ZnCr
_chemical_formula_sum 'Mg1 Tl2 Zn1 Cr1'
_space_group_name_H-M_alt 'P 1'
_space_group_IT_number 1
_space_group_name_Hall 'P 1'
_cell_length_a 5.464
_cell_length_b 4.992
_cell_length_c 5.464
_cell_angle_alpha 90.00
_cell_angle_beta 90.00
_cell_angle_gamma 90.00
loop_
_atom_site_label
_atom_site_type_symbol
_atom_site_fract_x
_atom_site_fract_y
_atom_site_fract_z
Mg1 Mg 0.000 0.000 0.000
Cr1 Cr 0.500 0.500 0.500
Tl1 Tl 0.000 0.000 0.500
Tl2 Tl 0.500 0.000 0.000
Zn1 Zn 0.000 0.500 0.000
```

[12]
A relaxed structure of BeNbSiC2. Source: the Alexandria database, functional PBE.

**Total energy**: -5.66 eV per atom
**Formation energy from raw total energies**: 1872 meV/atom
**SG**: P4/mmm

Structure (CIF):
```
data_BeNbSiC2
_chemical_formula_sum 'Be1 Nb1 Si1 C2'
_space_group_name_H-M_alt 'P 1'
_space_group_IT_number 1
_space_group_name_Hall 'P 1'
_cell_length_a 4.141
_cell_length_b 4.616
_cell_length_c 4.141
_cell_angle_alpha 90.00
_cell_angle_beta 90.00
_cell_angle_gamma 90.00
loop_
_atom_site_label
_atom_site_type_symbol
_atom_site_fract_x
_atom_site_fract_y
_atom_site_fract_z
C1 C 0.000 0.000 0.500
C2 C 0.500 0.000 0.000
Be1 Be 0.000 0.500 0.000
Nb1 Nb 0.000 0.000 0.000
Si1 Si 0.500 0.500 0.500
```

[13]
A relaxed structure of HoScInCu. Source: the Alexandria database, functional PBE.

**Total energy**: -4.74 eV per atom
**ΔH_f (0 K)**: -7.06 kcal/mol of atoms
**SG**: F-43m

Structure (CIF):
```
data_HoScInCu
_chemical_formula_sum 'Ho1 Sc1 In1 Cu1'
_space_group_name_H-M_alt 'P 1'
_space_group_IT_number 1
_space_group_name_Hall 'P 1'
_cell_length_a 5.001
_cell_length_b 5.001
_cell_length_c 5.001
_cell_angle_alpha 60.00
_cell_angle_beta 60.00
_cell_angle_gamma 60.00
loop_
_atom_site_label
_atom_site_type_symbol
_atom_site_fract_x
_atom_site_fract_y
_atom_site_fract_z
Sc1 Sc 0.500 0.500 0.500
Ho1 Ho 0.000 0.000 0.000
Cu1 Cu 0.250 0.250 0.250
In1 In 0.750 0.750 0.750
```

[14]
A relaxed structure of TlAg2Rh2. Source: the Alexandria database, functional PBE.

**Total energy**: -4.10 eV per atom
**ΔH_f (0 K)**: 10.52 kcal/mol of atoms
**SG**: I4/mmm

Structure (CIF):
```
data_TlAg2Rh2
_chemical_formula_sum 'Tl1 Ag2 Rh2'
_space_group_name_H-M_alt 'P 1'
_space_group_IT_number 1
_space_group_name_Hall 'P 1'
_cell_length_a 3.685
_cell_length_b 3.685
_cell_length_c 7.685
_cell_angle_alpha 76.13
_cell_angle_beta 76.13
_cell_angle_gamma 90.00
loop_
_atom_site_label
_atom_site_type_symbol
_atom_site_fract_x
_atom_site_fract_y
_atom_site_fract_z
Tl1 Tl 0.000 0.000 0.000
Rh1 Rh 0.750 0.250 0.500
Rh2 Rh 0.250 0.750 0.500
Ag1 Ag 0.397 0.397 0.205
Ag2 Ag 0.603 0.603 0.795
```

[15]
A relaxed structure of Hf3Zn2Cu9. Source: the Alexandria database, functional PBE.

**Total energy**: -5.03 eV per atom
**ΔH_f (0 K)**: -1.90 kcal/mol of atoms
**SG**: Immm

Structure (CIF):
```
data_Hf3Zn2Cu9
_chemical_formula_sum 'Hf3 Zn2 Cu9'
_space_group_name_H-M_alt 'P 1'
_space_group_IT_number 1
_space_group_name_Hall 'P 1'
_cell_length_a 4.155
_cell_length_b 7.481
_cell_length_c 7.481
_cell_angle_alpha 68.55
_cell_angle_beta 73.88
_cell_angle_gamma 73.88
loop_
_atom_site_label
_atom_site_type_symbol
_atom_site_fract_x
_atom_site_fract_y
_atom_site_fract_z
Hf1 Hf 0.000 0.000 0.000
Hf2 Hf 0.715 0.285 0.285
Hf3 Hf 0.285 0.715 0.715
Zn1 Zn 0.500 0.328 0.672
Zn2 Zn 0.500 0.672 0.328
Cu1 Cu 0.000 0.500 0.500
Cu2 Cu 0.658 0.982 0.703
Cu3 Cu 0.342 0.018 0.297
Cu4 Cu 0.658 0.703 0.982
Cu5 Cu 0.342 0.297 0.018
Cu6 Cu 0.862 0.853 0.422
Cu7 Cu 0.138 0.147 0.578
Cu8 Cu 0.862 0.422 0.853
Cu9 Cu 0.138 0.578 0.147
```

[16]
A relaxed structure of LaSnHg2H. Source: the Alexandria database, functional PBE.

**Total energy**: -2.90 eV per atom
**SG**: P4/mmm

Structure (CIF):
```
data_LaSnHg2H
_chemical_formula_sum 'La1 Sn1 Hg2 H1'
_space_group_name_H-M_alt 'P 1'
_space_group_IT_number 1
_space_group_name_Hall 'P 1'
_cell_length_a 4.865
_cell_length_b 4.865
_cell_length_c 4.694
_cell_angle_alpha 90.00
_cell_angle_beta 90.00
_cell_angle_gamma 90.00
loop_
_atom_site_label
_atom_site_type_symbol
_atom_site_fract_x
_atom_site_fract_y
_atom_site_fract_z
H1 H 0.000 0.000 0.000
Hg1 Hg 0.000 0.500 0.000
Hg2 Hg 0.500 0.000 0.000
Sn1 Sn 0.500 0.500 0.500
La1 La 0.000 0.000 0.500
```

[17]
A relaxed structure of ZrB2Mo. Source: the Alexandria database, functional PBE.

**Total energy**: -7.99 eV per atom
**ΔH_f (0 K)**: 4.56 kcal/mol of atoms
**SG**: Fm-3m

Structure (CIF):
```
data_ZrB2Mo
_chemical_formula_sum 'Zr1 B2 Mo1'
_space_group_name_H-M_alt 'P 1'
_space_group_IT_number 1
_space_group_name_Hall 'P 1'
_cell_length_a 4.109
_cell_length_b 4.109
_cell_length_c 4.109
_cell_angle_alpha 60.00
_cell_angle_beta 60.00
_cell_angle_gamma 60.00
loop_
_atom_site_label
_atom_site_type_symbol
_atom_site_fract_x
_atom_site_fract_y
_atom_site_fract_z
Mo1 Mo 0.500 0.500 0.500
B1 B 0.250 0.250 0.250
B2 B 0.750 0.750 0.750
Zr1 Zr 0.000 0.000 0.000
```

[18]
A relaxed structure of Pm2HoEr2Sc. Source: the Alexandria database, functional PBE.

**Total energy**: -4.89 eV per atom
**ΔH_f (0 K)**: 0.76 kcal/mol of atoms
**SG**: Pmc2_1

Structure (CIF):
```
data_Pm2HoEr2Sc
_chemical_formula_sum 'Pm4 Ho2 Er4 Sc2'
_space_group_name_H-M_alt 'P 1'
_space_group_IT_number 1
_space_group_name_Hall 'P 1'
_cell_length_a 5.599
_cell_length_b 6.208
_cell_length_c 10.767
_cell_angle_alpha 90.00
_cell_angle_beta 90.00
_cell_angle_gamma 90.00
loop_
_atom_site_label
_atom_site_type_symbol
_atom_site_fract_x
_atom_site_fract_y
_atom_site_fract_z
Pm1 Pm 0.500 0.175 0.082
Pm2 Pm 0.000 0.342 0.258
Pm3 Pm 0.500 0.675 0.918
Pm4 Pm 0.000 0.842 0.742
Ho1 Ho 0.500 0.181 0.744
Ho2 Ho 0.500 0.681 0.256
Er1 Er 0.000 0.341 0.912
Er2 Er 0.500 0.167 0.423
Er3 Er 0.000 0.841 0.088
Er4 Er 0.500 0.667 0.577
Sc1 Sc 0.000 0.840 0.420
Sc2 Sc 0.000 0.340 0.580
```

[19]
A relaxed structure of ZrCr2Br. Source: the Alexandria database, functional PBE.

**Total energy**: -7.13 eV per atom
**Formation energy from raw total energies**: 238 meV/atom
**SG**: R3m

Structure (CIF):
```
data_ZrCr2Br
_chemical_formula_sum 'Zr1 Cr2 Br1'
_space_group_name_H-M_alt 'P 1'
_space_group_IT_number 1
_space_group_name_Hall 'P 1'
_cell_length_a 8.875
_cell_length_b 8.875
_cell_length_c 8.875
_cell_angle_alpha 20.98
_cell_angle_beta 20.98
_cell_angle_gamma 20.98
loop_
_atom_site_label
_atom_site_type_symbol
_atom_site_fract_x
_atom_site_fract_y
_atom_site_fract_z
Br1 Br 0.758 0.758 0.758
Cr1 Cr 0.984 0.984 0.984
Cr2 Cr 0.255 0.255 0.255
Zr1 Zr 0.504 0.504 0.504
```

[20]
A relaxed structure of NaAgSe2O8. Source: the Alexandria database, functional PBE.

**Total energy**: -4.80 eV per atom
**Formation energy from raw total energies**: -568 meV/atom
**SG**: R-3

Structure (CIF):
```
data_NaAgSe2O8
_chemical_formula_sum 'Na1 Ag1 Se2 O8'
_space_group_name_H-M_alt 'P 1'
_space_group_IT_number 1
_space_group_name_Hall 'P 1'
_cell_length_a 5.077
_cell_length_b 5.077
_cell_length_c 8.494
_cell_angle_alpha 72.61
_cell_angle_beta 72.61
_cell_angle_gamma 60.00
loop_
_atom_site_label
_atom_site_type_symbol
_atom_site_fract_x
_atom_site_fract_y
_atom_site_fract_z
Na1 Na 0.500 0.500 0.500
Ag1 Ag 0.000 0.000 0.000
Se1 Se 0.254 0.254 0.237
Se2 Se 0.746 0.746 0.763
O1 O 0.185 0.185 0.445
O2 O 0.591 0.282 0.170
O3 O 0.815 0.815 0.555
O4 O 0.957 0.591 0.170
O5 O 0.043 0.409 0.830
O6 O 0.282 0.957 0.170
O7 O 0.718 0.043 0.830
O8 O 0.409 0.718 0.830
```